16
Lattice="6.263 -0.180 -0.024 -2.001 5.938 -0.024 -1.806 -2.439 7.415" Properties=species:S:1:pos:R:3 comment="NaDyWO5 | Alexandria | GGA+U | optimized geometry" energy_ev_per_atom=-7.132 magmom_total_mub_per_fu=0.00 n_ef_per_ev_cell=0.00 spacegroup="C2/c, No. 15" pbc="T T T"
Na -0.034 3.538 1.830
Na 2.491 -0.220 5.537
Dy -0.903 -1.220 3.708
Dy 0.000 0.000 0.000
W 3.276 1.087 1.830
W -0.819 2.231 5.537
O -1.810 4.853 1.830
O 4.267 -1.535 5.537
O 4.879 1.447 1.035
O -2.423 1.871 6.332
O 3.400 -0.551 2.624
O -0.944 3.869 4.742
O 2.872 2.310 3.106
O -0.415 1.008 4.260
O 1.988 1.117 0.553
O 0.468 2.201 6.814